No. 1
DFT (PBE-GGA) results for an optimized crystal structure of CrPIr2.

abc: 5.201 5.201 2.779
angles: 105.34 105.34 118.24
Atoms (fractional coordinates):
Cr 0.000 0.000 0.000
P 0.500 0.500 0.000
Ir 0.000 0.500 0.500
Ir 0.500 0.000 0.500

Calculated values
magnetization: 2.9 μB/f.u.
E_form: 0.153 eV per atom
calculated total energy: -8.035 eV/atom
SG: No. 12

=====

No. 2
DFT (PBE-GGA) results for an optimized crystal structure of CrPIr2.

abc: 2.776 3.738 5.344
angles: 90.00 105.04 90.00
Atoms (fractional coordinates):
Cr 0.000 0.000 0.000
P 0.406 0.500 0.807
Ir 0.270 0.000 0.539
Ir 0.623 0.500 0.246

Calculated values
magnetization: 0.0 μB/f.u.
E_form: -0.232 eV per atom
calculated total energy: -8.421 eV/atom
SG: No. 6

=====

No. 3
DFT (PBE-GGA) results for an optimized crystal structure of CrPIr2.

abc: 6.520 6.520 6.520
angles: 131.94 131.94 70.32
Atoms (fractional coordinates):
Cr 0.000 0.000 0.000
Cr 0.750 0.250 0.500
P 0.250 0.750 0.500
P 0.500 0.500 0.000
Ir 0.138 0.625 0.013
Ir 0.375 0.388 0.513
Ir 0.612 0.125 0.987
Ir 0.875 0.862 0.487

Calculated values
magnetization: 1.1 μB/f.u.
E_form: 0.249 eV per atom
calculated total energy: -7.940 eV/atom
SG: No. 122

=====

No. 4
DFT (PBE-GGA) results for an optimized crystal structure of CrPIr2.

abc: 4.444 4.444 2.858
angles: 90.00 90.00 103.29
Atoms (fractional coordinates):
Cr 0.000 0.000 0.000
P 0.500 0.500 0.000
Ir 0.000 0.500 0.500
Ir 0.500 0.000 0.500

Calculated values
magnetization: 2.5 μB/f.u.
E_form: 0.020 eV per atom
calculated total energy: -8.169 eV/atom
SG: No. 65

=====

No. 5
DFT (PBE-GGA) results for an optimized crystal structure of Pa2CrP3Ir4.

abc: 3.978 3.978 10.451
angles: 90.00 90.00 90.00
Atoms (fractional coordinates):
Pa 0.000 0.500 0.249
Pa 0.500 0.000 0.751
Cr 0.000 0.000 0.500
P 0.000 0.500 0.867
P 0.500 0.000 0.133
P 0.500 0.500 0.500
Ir 0.000 0.000 0.000
Ir 0.000 0.500 0.649
Ir 0.500 0.000 0.351
Ir 0.500 0.500 0.000

Calculated values
magnetization: 3.0 μB/f.u.
E_form: -0.762 eV per atom
calculated total energy: -8.790 eV/atom
SG: No. 115

=====

No. 6
DFT (PBE-GGA) results for an optimized crystal structure of Pm2CrP4Ir3.

abc: 4.180 4.180 9.585
angles: 90.00 90.00 90.00
Atoms (fractional coordinates):
Pm 0.000 0.500 0.239
Pm 0.500 0.000 0.761
Cr 0.000 0.000 0.500
P 0.000 0.000 0.000
P 0.000 0.500 0.634
P 0.500 0.000 0.366
P 0.500 0.500 0.000
Ir 0.000 0.500 0.887
Ir 0.500 0.000 0.113
Ir 0.500 0.500 0.500

Calculated values
magnetization: 2.3 μB/f.u.
E_form: -0.957 eV per atom
calculated total energy: -7.692 eV/atom
SG: No. 115

=====

No. 7
DFT (PBE-GGA) results for an optimized crystal structure of CrP2IrS.

abc: 4.395 4.395 4.249
angles: 90.00 90.00 90.00
Atoms (fractional coordinates):
Cr 0.000 0.000 0.000
P 0.000 0.500 0.000
P 0.500 0.000 0.000
Ir 0.500 0.500 0.500
S 0.000 0.000 0.500

Calculated values
formation energy without anion corrections: 0.834 eV per atom
magnetization: 0.0 μB/f.u.
calculated total energy: -5.853 eV/atom
SG: No. 123
polymorph energy (0 for the lowest one): 0.45 eV/f.u.

=====

No. 8
DFT (PBE-GGA) results for an optimized crystal structure of CrP2IrS.

abc: 4.458 4.458 5.235
angles: 90.00 90.00 90.00
Atoms (fractional coordinates):
Cr 0.000 0.000 0.000
P 0.000 0.500 0.500
P 0.500 0.000 0.500
Ir 0.500 0.500 0.500
S 0.500 0.500 0.000

Calculated values
formation energy without anion corrections: 0.744 eV per atom
magnetization: 4.0 μB/f.u.
calculated total energy: -5.942 eV/atom
SG: No. 123
polymorph energy (0 for the lowest one): 0.00 eV/f.u.